Entry 1:
Re3NiCl after structural relaxation, computed with PBE.

## Properties
Distance to the lowest polymorph of the same formula (meV/atom): 0.0
Formation energy from raw total energies (eV/atom): 1.78
DOS at the Fermi energy (states/eV per cell): 2.29

```
Re3NiCl
1.0
4.2993 0.0000 0.0000
0.0000 4.2993 0.0000
0.0000 0.0000 4.2993
Ni Re Cl
1 3 1
direct
0.5000 0.5000 0.5000 Ni
0.0000 0.0000 0.5000 Re
0.5000 0.0000 0.0000 Re
0.0000 0.5000 0.0000 Re
0.0000 0.0000 0.0000 Cl
```

Entry 2:
Re2NiCl after structural relaxation, computed with PBE.

## Properties
Distance to the lowest polymorph of the same formula (meV/atom): 519.5
Formation energy from raw total energies (eV/atom): 0.82
DOS at the Fermi energy (states/eV per cell): 5.99

```
Re2NiCl
1.0
-1.8328 -0.5252 2.0111
2.3628 -1.4412 -0.1414
3.9646 5.9920 5.1779
Re Ni Cl
2 1 1
direct
0.0000 0.0000 0.9915 Re
0.0000 0.0000 0.5085 Re
0.5000 0.5000 0.7500 Ni
0.5000 0.5000 0.2500 Cl
```